Computed, not measured: Al2FeBr after structural relaxation at the PBEsol level of DFT. Values from VASP.

Geometry as Quantum ESPRESSO input:
```
&SYSTEM
  ibrav = 0, nat = 4, ntyp = 3
/
ATOMIC_SPECIES
Al 26.98 Al.upf
Fe 55.84 Fe.upf
Br 79.90 Br.upf
ATOMIC_POSITIONS crystal
Al 0.000 0.000 0.000
Al 0.243 0.243 0.737
Fe 0.720 0.720 0.030
Br 0.347 0.347 0.370
CELL_PARAMETERS angstrom
4.371 -1.539 0.000
4.371 1.539 0.000
-1.344 0.000 5.568
```

Summary:
symmetry: Cm, No. 8
E_form (uncorrected): 0.096 eV per atom

Computed, not measured: Mg2MnSiP after structural relaxation at the PBEsol level of DFT. Values from VASP.

Geometry as Quantum ESPRESSO input:
```
&SYSTEM
  ibrav = 0, nat = 5, ntyp = 4
/
ATOMIC_SPECIES
Mg 24.30 Mg.upf
Mn 54.94 Mn.upf
Si 28.09 Si.upf
P 30.97 P.upf
ATOMIC_POSITIONS crystal
Mg 0.000 0.500 0.000
Mg 0.500 0.000 0.000
Mn 0.000 0.000 0.500
Si 0.500 0.500 0.000
P 0.500 0.500 0.500
CELL_PARAMETERS angstrom
4.963 0.000 0.000
0.000 4.963 0.000
0.000 0.000 4.503
```

Summary:
symmetry: P4/mmm, No. 123
E_form (uncorrected): 0.787 eV per atom

Computed, not measured: AlAs2Pb after structural relaxation at the PBEsol level of DFT. Values from VASP.

Geometry as Quantum ESPRESSO input:
```
&SYSTEM
  ibrav = 0, nat = 8, ntyp = 3
/
ATOMIC_SPECIES
Al 26.98 Al.upf
As 74.92 As.upf
Pb 207.20 Pb.upf
ATOMIC_POSITIONS crystal
Al 0.000 0.000 0.000
Al 0.750 0.250 0.500
As 0.073 0.625 0.948
As 0.375 0.323 0.448
As 0.677 0.125 0.052
As 0.875 0.927 0.552
Pb 0.250 0.750 0.500
Pb 0.500 0.500 0.000
CELL_PARAMETERS angstrom
-3.056 3.056 5.976
3.056 -3.056 5.976
3.056 3.056 -5.976
```

Summary:
symmetry: I-42d, No. 122
formation enthalpy at 0 K: -0.046 eV/atom

Computed, not measured: ScBe3Ag after structural relaxation at the PBEsol level of DFT. Values from VASP.

Geometry as Quantum ESPRESSO input:
```
&SYSTEM
  ibrav = 0, nat = 5, ntyp = 3
/
ATOMIC_SPECIES
Sc 44.96 Sc.upf
Be 9.01 Be.upf
Ag 107.87 Ag.upf
ATOMIC_POSITIONS crystal
Sc 0.000 0.000 0.000
Be 0.000 0.000 0.500
Be 0.000 0.500 0.000
Be 0.500 0.000 0.000
Ag 0.500 0.500 0.500
CELL_PARAMETERS angstrom
4.656 0.000 0.000
0.000 4.656 0.000
0.000 0.000 4.656
```

Summary:
symmetry: Pm-3m, No. 221
formation enthalpy at 0 K: 1.882 eV/atom

Computed, not measured: MgHg2Te after structural relaxation at the PBEsol level of DFT. Values from VASP.

Geometry as Quantum ESPRESSO input:
```
&SYSTEM
  ibrav = 0, nat = 4, ntyp = 3
/
ATOMIC_SPECIES
Mg 24.30 Mg.upf
Hg 200.59 Hg.upf
Te 127.60 Te.upf
ATOMIC_POSITIONS crystal
Mg 0.000 0.000 0.000
Hg 0.519 0.519 0.000
Hg 0.768 0.268 0.500
Te 0.244 0.744 0.500
CELL_PARAMETERS angstrom
-2.152 2.829 4.146
2.152 -2.829 4.146
2.152 2.829 -4.146
```

Summary:
symmetry: Imm2, No. 44
E_form (uncorrected): -0.168 eV per atom

Computed, not measured: Hf3CBr after structural relaxation at the PBEsol level of DFT. Values from VASP.

Geometry as Quantum ESPRESSO input:
```
&SYSTEM
  ibrav = 0, nat = 5, ntyp = 3
/
ATOMIC_SPECIES
Hf 178.49 Hf.upf
C 12.01 C.upf
Br 79.90 Br.upf
ATOMIC_POSITIONS crystal
Hf 0.000 0.000 0.500
Hf 0.000 0.500 0.000
Hf 0.500 0.000 0.000
C 0.000 0.000 0.000
Br 0.500 0.500 0.500
CELL_PARAMETERS angstrom
4.499 0.000 0.000
0.000 4.499 0.000
0.000 0.000 4.499
```

Summary:
symmetry: Pm-3m, No. 221
E_form (uncorrected): 0.094 eV per atom

Computed, not measured: Sc3OsF after structural relaxation at the PBEsol level of DFT. Values from VASP.

Geometry as Quantum ESPRESSO input:
```
&SYSTEM
  ibrav = 0, nat = 5, ntyp = 3
/
ATOMIC_SPECIES
Sc 44.96 Sc.upf
Os 190.23 Os.upf
F 19.00 F.upf
ATOMIC_POSITIONS crystal
Sc 0.000 0.000 0.500
Sc 0.000 0.500 0.000
Sc 0.500 0.000 0.000
Os 0.500 0.500 0.500
F 0.000 0.000 0.000
CELL_PARAMETERS angstrom
4.303 0.000 0.000
0.000 4.303 0.000
0.000 0.000 4.303
```

Summary:
symmetry: Pm-3m, No. 221
E_form (uncorrected): -0.915 eV per atom

Computed, not measured: EuMoO3 after structural relaxation at the PBEsol level of DFT. Values from VASP.

Geometry as Quantum ESPRESSO input:
```
&SYSTEM
  ibrav = 0, nat = 5, ntyp = 3
/
ATOMIC_SPECIES
Eu 151.96 Eu.upf
Mo 95.94 Mo.upf
O 16.00 O.upf
ATOMIC_POSITIONS crystal
Eu 0.000 0.000 0.000
Mo 0.500 0.500 0.500
O 0.000 0.500 0.500
O 0.500 0.000 0.500
O 0.500 0.500 0.000
CELL_PARAMETERS angstrom
3.939 0.000 0.000
0.000 3.939 0.000
0.000 0.000 3.939
```

Summary:
symmetry: Pm-3m, No. 221
E_form (uncorrected): -2.439 eV per atom

Repeat the fourth record exactly.
Computed, not measured: ScBe3Ag after structural relaxation at the PBEsol level of DFT. Values from VASP.

Geometry as Quantum ESPRESSO input:
```
&SYSTEM
  ibrav = 0, nat = 5, ntyp = 3
/
ATOMIC_SPECIES
Sc 44.96 Sc.upf
Be 9.01 Be.upf
Ag 107.87 Ag.upf
ATOMIC_POSITIONS crystal
Sc 0.000 0.000 0.000
Be 0.000 0.000 0.500
Be 0.000 0.500 0.000
Be 0.500 0.000 0.000
Ag 0.500 0.500 0.500
CELL_PARAMETERS angstrom
4.656 0.000 0.000
0.000 4.656 0.000
0.000 0.000 4.656
```

Summary:
symmetry: Pm-3m, No. 221
formation enthalpy at 0 K: 1.882 eV/atom